(1)
{"formula": "Ba2Cd3SnPt4", "functional": "PBE-GGA", "state": "relaxed", "lattice": [[4.897, 0.000, 0.000], [0.000, 4.897, 0.000], [0.000, 0.000, 10.515]], "species": ["Ba", "Ba", "Cd", "Cd", "Cd", "Sn", "Pt", "Pt", "Pt", "Pt"], "fractional_positions": [[0.500, 0.000, 0.229], [0.000, 0.500, 0.771], [0.000, 0.000, 0.500], [0.500, 0.000, 0.876], [0.000, 0.500, 0.124], [0.500, 0.500, 0.500], [0.500, 0.500, 0.000], [0.000, 0.000, 0.000], [0.500, 0.000, 0.615], [0.000, 0.500, 0.385]], "dos_at_fermi_per_ev_cell": 5.002, "formation_energy_ev_per_atom": -0.550, "magmom_total_mub_per_fu": 0.0, "final_energy_ev_per_fu": -40.26, "sg": "P-4m2 (115)"}



(2)
{"formula": "BaSr2H", "functional": "PBE-GGA", "state": "relaxed", "lattice": [[0.000, 4.594, 4.594], [4.594, 0.000, 4.594], [4.594, 4.594, 0.000]], "species": ["Sr", "Sr", "Ba", "H"], "fractional_positions": [[0.250, 0.250, 0.250], [0.750, 0.750, 0.750], [0.500, 0.500, 0.500], [0.000, 0.000, 0.000]], "dos_at_fermi_per_ev_cell": 4.700, "magmom_total_mub_per_fu": 0.0, "final_energy_ev_per_fu": -6.18, "sg": "Fm-3m (225)"}



(3)
{"formula": "Sr2BeAs4Pd3", "functional": "PBE-GGA", "state": "relaxed", "lattice": [[-0.803, -3.899, 1.717], [0.897, -1.863, -3.811], [10.165, -0.856, 2.810]], "species": ["Sr", "Sr", "Be", "As", "As", "As", "As", "Pd", "Pd", "Pd"], "fractional_positions": [[0.500, 0.000, 0.253], [0.000, 0.500, 0.747], [0.500, 0.500, 0.500], [0.500, 0.500, 0.000], [0.000, 0.000, 0.000], [0.500, 0.000, 0.628], [0.000, 0.500, 0.372], [0.000, 0.000, 0.500], [0.500, 0.000, 0.870], [0.000, 0.500, 0.130]], "dos_at_fermi_per_ev_cell": 3.534, "formation_energy_ev_per_atom": -0.672, "magmom_total_mub_per_fu": 0.0, "final_energy_ev_per_fu": -47.99, "sg": "P-4m2 (115)"}